(1)
# GGA-PBE Cu3AuCl, relaxed
data_Cu3AuCl
_chemical_formula_sum 'Cu3 Au1 Cl1'
_symmetry_space_group_name_H-M 'P 1'
_symmetry_Int_Tables_number 1
_symmetry_space_group_name_Hall 'P 1'
_cell_length_a 4.4388
_cell_length_b 4.4388
_cell_length_c 4.4388
_cell_angle_alpha 90.00
_cell_angle_beta 90.00
_cell_angle_gamma 90.00
loop_
_atom_site_label
_atom_site_type_symbol
_atom_site_fract_x
_atom_site_fract_y
_atom_site_fract_z
Cu1 Cu 0.0000 0.0000 0.5000
Cu2 Cu 0.0000 0.5000 0.0000
Cu3 Cu 0.5000 0.0000 0.0000
Au1 Au 0.5000 0.5000 0.5000
Cl1 Cl 0.0000 0.0000 0.0000
# **Magnetization**: 0.0 μB/f.u.
# **Formation energy without anion corrections**: 60 kJ per mole of atoms
# **Space group**: No. 221
# **Relative energy among the computed polymorphs**: 0.000 eV/atom

(2)
# GGA-PBE CuAuCl5, relaxed
data_CuAuCl5
_chemical_formula_sum 'Cu2 Au2 Cl10'
_symmetry_space_group_name_H-M 'P 1'
_symmetry_Int_Tables_number 1
_symmetry_space_group_name_Hall 'P 1'
_cell_length_a 7.7703
_cell_length_b 7.7687
_cell_length_c 8.2788
_cell_angle_alpha 113.18
_cell_angle_beta 113.09
_cell_angle_gamma 104.67
loop_
_atom_site_label
_atom_site_type_symbol
_atom_site_fract_x
_atom_site_fract_y
_atom_site_fract_z
Cl1 Cl 0.4222 0.0770 0.2498
Cl2 Cl 0.8439 0.3061 0.7426
Cl3 Cl 0.1561 0.6939 0.2574
Cl4 Cl 0.8057 0.3440 0.2433
Cl5 Cl 0.5778 0.9230 0.7502
Cl6 Cl 0.1302 0.0504 0.7754
Au1 Au 0.8417 0.6584 0.2501
Cu1 Cu 0.5000 0.0000 0.5000
Cl7 Cl 0.4496 0.3693 0.7247
Cl8 Cl 0.1943 0.6560 0.7567
Cu2 Cu 0.5000 0.0000 0.0000
Cl9 Cl 0.5504 0.6307 0.2753
Cl10 Cl 0.8698 0.9496 0.2246
Au2 Au 0.1583 0.3416 0.7499
# **Magnetization**: 0.6 μB/f.u.
# **Formation energy without anion corrections**: -29 kJ per mole of atoms
# **Space group**: No. 2

(3)
# GGA-PBE CuAuCl4, relaxed
data_CuAuCl4
_chemical_formula_sum 'Cu2 Au2 Cl8'
_symmetry_space_group_name_H-M 'P 1'
_symmetry_Int_Tables_number 1
_symmetry_space_group_name_Hall 'P 1'
_cell_length_a 4.3231
_cell_length_b 6.4580
_cell_length_c 11.6676
_cell_angle_alpha 97.69
_cell_angle_beta 90.00
_cell_angle_gamma 90.00
loop_
_atom_site_label
_atom_site_type_symbol
_atom_site_fract_x
_atom_site_fract_y
_atom_site_fract_z
Cl1 Cl 0.1599 0.3246 0.6075
Cl2 Cl 0.1665 0.3125 0.1140
Cl3 Cl 0.3335 0.8125 0.6140
Au1 Au 0.5000 0.5000 0.0000
Cl4 Cl 0.6599 0.1754 0.8925
Cl5 Cl 0.6665 0.1875 0.3860
Cl6 Cl 0.3401 0.8246 0.1075
Cu1 Cu 0.5000 0.5000 0.5000
Cl7 Cl 0.8401 0.6754 0.3925
Cu2 Cu 0.0000 0.0000 0.0000
Au2 Au 0.0000 0.0000 0.5000
Cl8 Cl 0.8335 0.6875 0.8860
# **Magnetization**: 0.3 μB/f.u.
# **Formation energy without anion corrections**: -32 kJ per mole of atoms
# **Space group**: No. 14

(4)
# GGA-PBE CuAuClF2, relaxed
data_CuAuClF2
_chemical_formula_sum 'Cu1 Au1 Cl1 F2'
_symmetry_space_group_name_H-M 'P 1'
_symmetry_Int_Tables_number 1
_symmetry_space_group_name_Hall 'P 1'
_cell_length_a 3.7553
_cell_length_b 3.7553
_cell_length_c 5.9910
_cell_angle_alpha 90.00
_cell_angle_beta 90.00
_cell_angle_gamma 90.00
loop_
_atom_site_label
_atom_site_type_symbol
_atom_site_fract_x
_atom_site_fract_y
_atom_site_fract_z
F1 F 0.0000 0.5000 0.0000
Cu1 Cu 0.0000 0.0000 0.0000
Au1 Au 0.0000 0.0000 0.5000
Cl1 Cl 0.5000 0.5000 0.5000
F2 F 0.5000 0.0000 0.0000
# **Magnetization**: 0.0 μB/f.u.
# **Formation energy without anion corrections**: -78 kJ per mole of atoms
# **Space group**: No. 123

(5)
# GGA-PBE CuGeAuCl2, relaxed
data_CuGeAuCl2
_chemical_formula_sum 'Cu1 Ge1 Au1 Cl2'
_symmetry_space_group_name_H-M 'P 1'
_symmetry_Int_Tables_number 1
_symmetry_space_group_name_Hall 'P 1'
_cell_length_a 4.4526
_cell_length_b 5.6571
_cell_length_c 4.4526
_cell_angle_alpha 90.00
_cell_angle_beta 90.00
_cell_angle_gamma 90.00
loop_
_atom_site_label
_atom_site_type_symbol
_atom_site_fract_x
_atom_site_fract_y
_atom_site_fract_z
Ge1 Ge 0.5000 0.5000 0.5000
Cu1 Cu 0.0000 0.0000 0.0000
Cl1 Cl 0.0000 0.0000 0.5000
Cl2 Cl 0.5000 0.0000 0.0000
Au1 Au 0.0000 0.5000 0.0000
# **Magnetization**: 0.0 μB/f.u.
# **Formation energy without anion corrections**: 12 kJ per mole of atoms
# **Space group**: No. 123
# **Relative energy among the computed polymorphs**: 0.000 eV/atom

(6)
# GGA-PBE CuGeAuCl2, relaxed
data_CuGeAuCl2
_chemical_formula_sum 'Cu1 Ge1 Au1 Cl2'
_symmetry_space_group_name_H-M 'P 1'
_symmetry_Int_Tables_number 1
_symmetry_space_group_name_Hall 'P 1'
_cell_length_a 4.9552
_cell_length_b 5.2568
_cell_length_c 4.9552
_cell_angle_alpha 90.00
_cell_angle_beta 90.00
_cell_angle_gamma 90.00
loop_
_atom_site_label
_atom_site_type_symbol
_atom_site_fract_x
_atom_site_fract_y
_atom_site_fract_z
Cu1 Cu 0.5000 0.5000 0.5000
Ge1 Ge 0.0000 0.5000 0.0000
Cl1 Cl 0.0000 0.0000 0.5000
Cl2 Cl 0.5000 0.0000 0.0000
Au1 Au 0.0000 0.0000 0.0000
# **Magnetization**: 0.0 μB/f.u.
# **Formation energy without anion corrections**: 54 kJ per mole of atoms
# **Space group**: No. 123
# **Relative energy among the computed polymorphs**: 0.441 eV/atom

(7)
# GGA-PBE Cu2IrAuCl, relaxed
data_Cu2IrAuCl
_chemical_formula_sum 'Cu2 Ir1 Au1 Cl1'
_symmetry_space_group_name_H-M 'P 1'
_symmetry_Int_Tables_number 1
_symmetry_space_group_name_Hall 'P 1'
_cell_length_a 4.8057
_cell_length_b 5.0239
_cell_length_c 4.8057
_cell_angle_alpha 90.00
_cell_angle_beta 90.00
_cell_angle_gamma 90.00
loop_
_atom_site_label
_atom_site_type_symbol
_atom_site_fract_x
_atom_site_fract_y
_atom_site_fract_z
Cl1 Cl 0.5000 0.5000 0.5000
Cu1 Cu 0.0000 0.0000 0.5000
Au1 Au 0.0000 0.0000 0.0000
Cu2 Cu 0.5000 0.0000 0.0000
Ir1 Ir 0.0000 0.5000 0.0000
# **Magnetization**: 1.6 μB/f.u.
# **Formation energy without anion corrections**: 120 kJ per mole of atoms
# **Space group**: No. 123

(8)
# GGA-PBE K4Cu3AuCl12, relaxed
data_K4Cu3AuCl12
_chemical_formula_sum 'K4 Cu3 Au1 Cl12'
_symmetry_space_group_name_H-M 'P 1'
_symmetry_Int_Tables_number 1
_symmetry_space_group_name_Hall 'P 1'
_cell_length_a 8.5294
_cell_length_b 8.5294
_cell_length_c 8.5294
_cell_angle_alpha 109.47
_cell_angle_beta 109.47
_cell_angle_gamma 109.47
loop_
_atom_site_label
_atom_site_type_symbol
_atom_site_fract_x
_atom_site_fract_y
_atom_site_fract_z
Au1 Au 0.0000 0.0000 0.0000
Cl1 Cl 0.2579 0.0000 0.2579
Cl2 Cl 0.2500 0.7500 0.5000
Cu1 Cu 0.5000 0.5000 0.0000
Cl3 Cl 0.2500 0.5000 0.7500
Cl4 Cl 0.0000 0.2579 0.2579
K1 K 0.0000 0.0000 0.5000
Cl5 Cl 0.5000 0.7500 0.2500
K2 K 0.5000 0.0000 0.0000
Cl6 Cl 0.2579 0.2579 0.0000
Cl7 Cl 0.7500 0.5000 0.2500
Cu2 Cu 0.5000 0.0000 0.5000
Cl8 Cl 0.5000 0.2500 0.7500
Cl9 Cl 0.0000 0.7421 0.7421
Cl10 Cl 0.7421 0.7421 0.0000
Cl11 Cl 0.7500 0.2500 0.5000
K3 K 0.5000 0.5000 0.5000
K4 K 0.0000 0.5000 0.0000
Cl12 Cl 0.7421 0.0000 0.7421
Cu3 Cu 0.0000 0.5000 0.5000
# **Magnetization**: 0.0 μB/f.u.
# **Formation energy without anion corrections**: -100 kJ per mole of atoms
# **Space group**: No. 229